No. 1
# Tm5Th, relaxed, DFT PBE
# E, eV per atom: -4.927
# Density of states at the Fermi level, states/eV/cell: 20.01
# Magnetic moment, μB per formula unit: 0.000
# Offset from the most stable computed form, eV/atom: 0.019
data_Tm5Th
_symmetry_space_group_name_H-M 'C m m m'
_symmetry_Int_Tables_number 65
_symmetry_space_group_name_Hall '-C 2 2'
_cell_length_a 4.964
_cell_length_b 14.849
_cell_length_c 4.981
_cell_angle_alpha 90.00
_cell_angle_beta 90.00
_cell_angle_gamma 90.00
loop_
_atom_site_label
_atom_site_fract_x
_atom_site_fract_y
_atom_site_fract_z
Tm1 0.000 0.000 0.000
Tm2 0.000 0.167 0.500
Tm3 0.000 0.335 0.000
Th1 0.000 0.500 0.500

=====

No. 2
# TaSnGeO6, relaxed, DFT PBE
# E, eV per atom: -7.507
# Density of states at the Fermi level, states/eV/cell: 3.03
# E_form (uncorrected), meV/atom: -1927
# Magnetic moment, μB per formula unit: 0.000
data_TaSnGeO6
_symmetry_space_group_name_H-M 'P 3 1 2'
_symmetry_Int_Tables_number 149
_symmetry_space_group_name_Hall 'P 3 2'
_cell_length_a 5.1835
_cell_length_b 5.1835
_cell_length_c 4.7825
_cell_angle_alpha 90.00
_cell_angle_beta 90.00
_cell_angle_gamma 120.00
loop_
_atom_site_label
_atom_site_fract_x
_atom_site_fract_y
_atom_site_fract_z
Ta1 0.0000 0.0000 0.0000
Sn1 0.6667 0.3333 0.5000
Ge1 0.3333 0.6667 0.0000
O1 0.0355 0.3442 0.2228

=====

No. 3
# Ce2PaIn, relaxed, DFT PBE
# E, eV per atom: -5.953
# Density of states at the Fermi level, states/eV/cell: 53.06
# Magnetic moment, μB per formula unit: 3.448
# Offset from the most stable computed form, eV/atom: 0.198
data_Ce2PaIn
_symmetry_space_group_name_H-M 'F m -3 m'
_symmetry_Int_Tables_number 225
_symmetry_space_group_name_Hall '-F 4 2 3'
_cell_length_a 7.552
_cell_length_b 7.552
_cell_length_c 7.552
_cell_angle_alpha 90.00
_cell_angle_beta 90.00
_cell_angle_gamma 90.00
loop_
_atom_site_label
_atom_site_fract_x
_atom_site_fract_y
_atom_site_fract_z
Ce1 0.250 0.250 0.250
Pa1 0.000 0.000 0.000
In1 0.000 0.000 0.500

=====

No. 4
# CuSn3As4, relaxed, DFT PBE
# E, eV per atom: -4.362
# Density of states at the Fermi level, states/eV/cell: 5.02
# Magnetic moment, μB per formula unit: 0.000
data_CuSn3As4
_symmetry_space_group_name_H-M 'P m n 21'
_symmetry_Int_Tables_number 31
_symmetry_space_group_name_Hall 'P 2ac -2'
_cell_length_a 8.778
_cell_length_b 7.272
_cell_length_c 6.969
_cell_angle_alpha 90.00
_cell_angle_beta 90.00
_cell_angle_gamma 90.00
loop_
_atom_site_label
_atom_site_fract_x
_atom_site_fract_y
_atom_site_fract_z
Cu1 0.000 0.168 0.000
Sn1 0.000 0.818 0.509
Sn2 0.250 0.331 0.509
As1 0.000 0.165 0.656
As2 0.000 0.859 0.119
As3 0.223 0.317 0.123

=====

No. 5
# CeTlInBi, relaxed, DFT PBE
# E, eV per atom: -4.130
# Density of states at the Fermi level, states/eV/cell: 5.96
# Magnetic moment, μB per formula unit: 0.928
data_CeTlInBi
_symmetry_space_group_name_H-M 'P m m m'
_symmetry_Int_Tables_number 47
_symmetry_space_group_name_Hall '-P 2 2'
_cell_length_a 4.679
_cell_length_b 4.773
_cell_length_c 5.078
_cell_angle_alpha 90.00
_cell_angle_beta 90.00
_cell_angle_gamma 90.00
loop_
_atom_site_label
_atom_site_fract_x
_atom_site_fract_y
_atom_site_fract_z
Ce1 0.000 0.000 0.000
Tl1 0.500 0.000 0.500
In1 0.000 0.500 0.500
Bi1 0.500 0.500 0.000

=====

No. 6
# Be2MoP, relaxed, DFT PBE
# E, eV per atom: -5.585
# Density of states at the Fermi level, states/eV/cell: 2.07
# Magnetic moment, μB per formula unit: 0.000
data_Be2MoP
_symmetry_space_group_name_H-M 'P 4/m m m'
_symmetry_Int_Tables_number 123
_symmetry_space_group_name_Hall '-P 4 2'
_cell_length_a 2.587
_cell_length_b 2.587
_cell_length_c 7.306
_cell_angle_alpha 90.00
_cell_angle_beta 90.00
_cell_angle_gamma 90.00
loop_
_atom_site_label
_atom_site_fract_x
_atom_site_fract_y
_atom_site_fract_z
Be1 0.000 0.000 0.246
Mo1 0.500 0.500 0.500
P1 0.500 0.500 0.000

=====

No. 7
# YAs2Cl, relaxed, DFT PBE
# E, eV per atom: -4.579
# Density of states at the Fermi level, states/eV/cell: 15.60
# E_form (uncorrected), meV/atom: -177
# Magnetic moment, μB per formula unit: 0.000
# Offset from the most stable computed form, eV/atom: 0.840
data_YAs2Cl
_symmetry_space_group_name_H-M 'F m -3 m'
_symmetry_Int_Tables_number 225
_symmetry_space_group_name_Hall '-F 4 2 3'
_cell_length_a 7.118
_cell_length_b 7.118
_cell_length_c 7.118
_cell_angle_alpha 90.00
_cell_angle_beta 90.00
_cell_angle_gamma 90.00
loop_
_atom_site_label
_atom_site_fract_x
_atom_site_fract_y
_atom_site_fract_z
Y1 0.000 0.000 0.000
As1 0.250 0.250 0.250
Cl1 0.000 0.000 0.500

=====

No. 8
# KTlAg2, relaxed, DFT PBE
# E, eV per atom: -2.115
# Density of states at the Fermi level, states/eV/cell: 2.54
# Magnetic moment, μB per formula unit: 0.000
# Offset from the most stable computed form, eV/atom: 0.168
data_KTlAg2
_symmetry_space_group_name_H-M 'C 1 2/m 1'
_symmetry_Int_Tables_number 12
_symmetry_space_group_name_Hall '-C 2y'
_cell_length_a 7.095
_cell_length_b 9.336
_cell_length_c 3.218
_cell_angle_alpha 90.00
_cell_angle_beta 90.22
_cell_angle_gamma 90.00
loop_
_atom_site_label
_atom_site_fract_x
_atom_site_fract_y
_atom_site_fract_z
K1 0.000 0.000 0.000
Tl1 0.000 0.500 0.000
Ag1 0.250 0.250 0.500